*P*
{
  "formula": "Ca2Ge2Te",
  "functional": "PBE",
  "state": "optimized geometry",
  "lattice": [[-1.950, 1.950, 8.613], [1.950, -1.950, 8.613], [1.950, 1.950, -8.613]],
  "species": ["Ca", "Ca", "Ge", "Ge", "Te"],
  "frac_coords": [[0.105, 0.105, 0.000], [0.895, 0.895, 0.000], [0.250, 0.750, 0.500], [0.750, 0.250, 0.500], [0.500, 0.500, 0.000]],
  "m_tot_mub_per_cell": 0.00,
  "space_group": "I4/mmm"
}

---

*Q*
{
  "formula": "Ca2Ge2Te",
  "functional": "PBE",
  "state": "optimized geometry",
  "lattice": [[8.355, 0.000, 0.000], [0.000, 8.355, 0.000], [0.000, 0.000, 4.281]],
  "species": ["Ca", "Ca", "Ca", "Ca", "Ge", "Ge", "Ge", "Ge", "Te", "Te"],
  "frac_coords": [[0.192, 0.308, 0.000], [0.308, 0.808, 0.000], [0.692, 0.192, 0.000], [0.808, 0.692, 0.000], [0.098, 0.598, 0.500], [0.402, 0.098, 0.500], [0.598, 0.902, 0.500], [0.902, 0.402, 0.500], [0.000, 0.000, 0.000], [0.500, 0.500, 0.000]],
  "m_tot_mub_per_cell": 0.00,
  "space_group": "P4/mbm"
}

---

*R*
{
  "formula": "Ca2Ge2Te",
  "functional": "PBE",
  "state": "optimized geometry",
  "lattice": [[-2.727, 2.727, 5.021], [2.727, -2.727, 5.021], [2.727, 2.727, -5.021]],
  "species": ["Ca", "Ca", "Ge", "Ge", "Te"],
  "frac_coords": [[0.250, 0.750, 0.500], [0.750, 0.250, 0.500], [0.113, 0.113, 0.000], [0.887, 0.887, 0.000], [0.500, 0.500, 0.000]],
  "m_tot_mub_per_cell": 0.00,
  "space_group": "I4/mmm"
}

---

*S*
{
  "formula": "Ca2Ge2Te",
  "functional": "PBE",
  "state": "optimized geometry",
  "lattice": [[7.861, 0.000, 0.000], [0.000, 7.861, 0.000], [0.000, 0.000, 4.216]],
  "species": ["Ca", "Ca", "Ca", "Ca", "Ge", "Ge", "Ge", "Ge", "Te", "Te"],
  "frac_coords": [[0.181, 0.319, 0.000], [0.319, 0.819, 0.000], [0.681, 0.181, 0.000], [0.819, 0.681, 0.000], [0.113, 0.613, 0.500], [0.387, 0.113, 0.500], [0.613, 0.887, 0.500], [0.887, 0.387, 0.500], [0.000, 0.000, 0.500], [0.500, 0.500, 0.500]],
  "m_tot_mub_per_cell": 0.00,
  "space_group": "P4/mbm"
}

---

It is *R* that is the least stable of them.

---

*P*
{
  "formula": "CaTlGe",
  "functional": "PBE",
  "state": "optimized geometry",
  "lattice": [[3.998, 0.000, 0.000], [-0.004, 4.411, 0.000], [-0.742, -2.202, 9.276]],
  "species": ["Ca", "Ca", "Tl", "Tl", "Ge", "Ge"],
  "frac_coords": [[0.222, 0.411, 0.322], [0.778, 0.589, 0.678], [0.253, 0.210, 0.920], [0.747, 0.790, 0.080], [0.265, 0.045, 0.587], [0.735, 0.955, 0.413]],
  "m_tot_mub_per_cell": 0.00,
  "space_group": "P-1"
}

---

*Q*
{
  "formula": "CaTlGe",
  "functional": "PBE",
  "state": "optimized geometry",
  "lattice": [[7.274, -1.971, 0.000], [7.274, 1.971, 0.000], [-0.700, 0.000, 5.605]],
  "species": ["Ca", "Ca", "Tl", "Tl", "Ge", "Ge"],
  "frac_coords": [[0.134, 0.134, 0.336], [0.866, 0.866, 0.664], [0.436, 0.436, 0.216], [0.564, 0.564, 0.784], [0.231, 0.231, 0.855], [0.769, 0.769, 0.145]],
  "m_tot_mub_per_cell": 0.00,
  "space_group": "C2/m"
}

---

*R*
{
  "formula": "CaTlGe",
  "functional": "PBE",
  "state": "optimized geometry",
  "lattice": [[1.977, 1.142, 12.453], [-1.977, 1.142, 12.453], [0.000, -2.283, 12.453]],
  "species": ["Ca", "Ca", "Tl", "Tl", "Ge", "Ge"],
  "frac_coords": [[0.000, 0.000, 0.000], [0.475, 0.475, 0.475], [0.208, 0.208, 0.208], [0.602, 0.602, 0.602], [0.086, 0.086, 0.086], [0.389, 0.389, 0.389]],
  "m_tot_mub_per_cell": 0.00,
  "space_group": "R3m"
}

---

*S*
{
  "formula": "CaTlGe",
  "functional": "PBE",
  "state": "optimized geometry",
  "lattice": [[5.376, 0.000, 0.000], [0.000, 3.604, 0.000], [-2.663, 0.000, 8.081]],
  "species": ["Ca", "Ca", "Tl", "Tl", "Ge", "Ge"],
  "frac_coords": [[0.000, 0.000, 0.000], [0.348, 0.000, 0.692], [0.013, 0.500, 0.346], [0.524, 0.000, 0.346], [0.514, 0.500, 0.027], [0.835, 0.500, 0.665]],
  "m_tot_mub_per_cell": 0.00,
  "space_group": "Pm"
}

---

It is *S* that is the least stable of them.

---

*P*
{
  "formula": "CaTlGe",
  "functional": "PBE",
  "state": "optimized geometry",
  "lattice": [[0.000, 3.530, 3.530], [3.530, 0.000, 3.530], [3.530, 3.530, 0.000]],
  "species": ["Ca", "Tl", "Ge"],
  "frac_coords": [[0.000, 0.000, 0.000], [0.500, 0.500, 0.500], [0.750, 0.750, 0.750]],
  "m_tot_mub_per_cell": 0.00,
  "space_group": "F-43m"
}

---

*Q*
{
  "formula": "CaTlGe",
  "functional": "PBE",
  "state": "optimized geometry",
  "lattice": [[3.920, 0.000, 0.000], [-1.944, 5.308, 0.000], [-0.074, -2.461, 7.863]],
  "species": ["Ca", "Ca", "Tl", "Tl", "Ge", "Ge"],
  "frac_coords": [[0.000, 0.000, 0.000], [0.300, 0.606, 0.601], [0.522, 0.046, 0.362], [0.765, 0.534, 0.212], [0.028, 0.064, 0.651], [0.674, 0.352, 0.826]],
  "m_tot_mub_per_cell": 0.00,
  "space_group": "P1"
}

---

It is *P* that is the least stable of them.

---

*P*
{
  "formula": "CaTlGe",
  "functional": "PBE",
  "state": "optimized geometry",
  "lattice": [[5.690, -2.008, 0.000], [5.690, 2.008, 0.000], [-1.154, 0.000, 7.184]],
  "species": ["Ca", "Ca", "Tl", "Tl", "Ge", "Ge"],
  "frac_coords": [[0.000, 0.000, 0.000], [0.744, 0.744, 0.329], [0.402, 0.402, 0.662], [0.700, 0.700, 0.824], [0.068, 0.068, 0.462], [0.445, 0.445, 0.282]],
  "m_tot_mub_per_cell": 0.00,
  "space_group": "Cm"
}

---

*Q*
{
  "formula": "CaTlGe",
  "functional": "PBE",
  "state": "optimized geometry",
  "lattice": [[4.473, 0.000, 0.000], [2.179, 5.661, 0.000], [2.138, 1.500, 6.261]],
  "species": ["Ca", "Ca", "Tl", "Tl", "Ge", "Ge"],
  "frac_coords": [[0.073, 0.182, 0.174], [0.927, 0.818, 0.826], [0.327, 0.260, 0.582], [0.673, 0.740, 0.418], [0.364, 0.621, 0.150], [0.636, 0.379, 0.850]],
  "m_tot_mub_per_cell": 0.00,
  "space_group": "P-1"
}

---

*R*
{
  "formula": "CaTlGe",
  "functional": "PBE",
  "state": "optimized geometry",
  "lattice": [[4.416, 0.000, 0.000], [2.193, 5.723, 0.000], [2.196, -0.372, 6.463]],
  "species": ["Ca", "Ca", "Tl", "Tl", "Ge", "Ge"],
  "frac_coords": [[0.054, 0.218, 0.176], [0.946, 0.782, 0.824], [0.330, 0.263, 0.577], [0.670, 0.737, 0.423], [0.348, 0.674, 0.129], [0.652, 0.326, 0.871]],
  "m_tot_mub_per_cell": 0.00,
  "space_group": "P-1"
}

---

It is *P* that is the least stable of them.